Material: TlRe2Cl
Method: DFT, PBE
State: relaxed

The structure in POSCAR format:
```
TlRe2Cl
1.0
-3.558 3.558 2.842
3.558 -3.558 2.842
3.558 3.558 -2.842
Tl Re Cl
2 4 2
direct
0.000 0.000 0.000 Tl
0.750 0.250 0.500 Tl
0.204 0.625 0.079 Re
0.375 0.454 0.579 Re
0.546 0.125 0.921 Re
0.875 0.796 0.421 Re
0.250 0.750 0.500 Cl
0.500 0.500 0.000 Cl
```

Computed properties:
uncorrected formation energy = 1.56 eV per atom
ΔE to the lowest computed polymorph = 5.36 eV/f.u.
space group = I-42d, No. 122
crystal system = tetragonal
total magnetization = 0.00 μB per formula unit

Material: BeRe3Tc
Method: DFT, PBE
State: relaxed

The structure in POSCAR format:
```
BeRe3Tc
1.0
4.121 0.000 0.000
0.000 4.121 0.000
0.000 0.000 4.121
Be Re Tc
1 3 1
direct
0.000 0.000 0.000 Be
0.000 0.000 0.500 Re
0.000 0.500 0.000 Re
0.500 0.000 0.000 Re
0.500 0.500 0.500 Tc
```

Computed properties:
ΔE to the lowest computed polymorph = 0.00 eV/f.u.
space group = Pm-3m, No. 221
crystal system = cubic
total magnetization = 0.00 μB per formula unit
formation enthalpy at 0 K = 0.637 eV/atom

Material: ReS
Method: DFT, PBE
State: relaxed

The structure in POSCAR format:
```
ReS
1.0
3.083 0.000 0.000
0.000 4.391 0.000
0.000 0.000 4.559
Re S
2 2
direct
0.000 0.120 0.000 Re
0.500 0.880 0.500 Re
0.000 0.637 0.191 S
0.500 0.363 0.691 S
```

Computed properties:
uncorrected formation energy = -0.07 eV per atom
ΔE to the lowest computed polymorph = 0.00 eV/f.u.
space group = Pmn2_1, No. 31
crystal system = orthorhombic
total magnetization = 0.00 μB per formula unit

Material: Er3TaN4
Method: DFT, PBE
State: relaxed

The structure in POSCAR format:
```
Er3TaN4
1.0
3.341 -4.696 0.000
3.341 4.696 0.000
0.000 0.000 3.315
Er Ta N
3 1 4
direct
0.000 0.000 0.000 Er
0.000 0.500 0.500 Er
0.500 0.000 0.500 Er
0.500 0.500 0.000 Ta
0.263 0.737 0.000 N
0.269 0.269 0.500 N
0.731 0.731 0.500 N
0.737 0.263 0.000 N
```

Computed properties:
uncorrected formation energy = -1.61 eV per atom
space group = Cmmm, No. 65
crystal system = orthorhombic
total magnetization = 0.00 μB per formula unit

Material: La2Y6HoTh3
Method: DFT, PBE
State: relaxed

The structure in POSCAR format:
```
La2Y6HoTh3
1.0
3.124 -5.412 0.000
3.124 5.412 0.000
-2.088 0.000 11.637
La Y Ho Th
2 6 1 3
direct
0.166 0.834 0.000 La
0.834 0.166 0.000 La
0.082 0.414 0.743 Y
0.253 0.253 0.257 Y
0.414 0.082 0.743 Y
0.586 0.918 0.257 Y
0.747 0.747 0.743 Y
0.918 0.586 0.257 Y
0.500 0.500 0.000 Ho
0.000 0.000 0.500 Th
0.333 0.667 0.500 Th
0.667 0.333 0.500 Th
```

Computed properties:
space group = C2/m, No. 12
crystal system = monoclinic
total magnetization = 0.00 μB per formula unit
formation enthalpy at 0 K = 0.020 eV/atom

Material: ScBePtAu
Method: DFT, PBE
State: relaxed

The structure in POSCAR format:
```
ScBePtAu
1.0
0.000 3.167 3.167
3.167 0.000 3.167
3.167 3.167 0.000
Sc Be Pt Au
1 1 1 1
direct
0.000 0.000 0.000 Sc
0.500 0.500 0.500 Be
0.750 0.750 0.750 Pt
0.250 0.250 0.250 Au
```

Computed properties:
space group = F-43m, No. 216
crystal system = cubic
total magnetization = 0.00 μB per formula unit
formation enthalpy at 0 K = -0.601 eV/atom

Material: SiRhAuS
Method: DFT, PBE
State: relaxed

The structure in POSCAR format:
```
SiRhAuS
1.0
3.833 0.000 0.000
0.000 2.814 0.000
-0.793 0.000 6.532
Si Rh Au S
1 1 1 1
direct
0.000 0.000 0.000 Si
0.479 0.500 0.909 Rh
0.851 0.500 0.303 Au
0.395 0.500 0.556 S
```

Computed properties:
uncorrected formation energy = -0.16 eV per atom
ΔE to the lowest computed polymorph = 0.14 eV/f.u.
space group = Pm, No. 6
crystal system = monoclinic
total magnetization = 0.00 μB per formula unit

Material: CsSm2Te6Pb3
Method: DFT, PBE
State: relaxed

The structure in POSCAR format:
```
CsSm2Te6Pb3
1.0
10.029 -2.261 0.000
10.029 2.261 0.000
-1.546 0.000 9.940
Cs Sm Te Pb
1 2 6 3
direct
0.000 0.000 0.000 Cs
0.328 0.328 0.665 Sm
0.672 0.672 0.335 Sm
0.166 0.166 0.564 Te
0.185 0.185 0.118 Te
0.482 0.482 0.715 Te
0.518 0.518 0.285 Te
0.815 0.815 0.882 Te
0.834 0.834 0.436 Te
0.000 0.000 0.500 Pb
0.340 0.340 0.177 Pb
0.660 0.660 0.823 Pb
```

Computed properties:
uncorrected formation energy = -0.80 eV per atom
space group = C2/m, No. 12
crystal system = monoclinic
total magnetization = 0.00 μB per formula unit